# KV2O6 | Alexandria | GGA+U | relaxed
# energy above the most stable polymorph in this dataset = 0.053 eV/atom
# crystal system = monoclinic
# ρ = 2172 kg/m3
# total energy = -6.737 eV/atom
# DOS at the Fermi energy = 25.9 states/eV/cell
data_KV2O6
_cell_length_a 10.5919
_cell_length_b 11.3706
_cell_length_c 6.6892
_cell_angle_alpha 90.00
_cell_angle_beta 115.87
_cell_angle_gamma 90.00
_space_group_name_H-M_alt 'C 1 2/c 1'
_space_group_IT_number 15
_space_group_name_Hall '-C 2yc'
loop_
_atom_site_label
_atom_site_fract_x
_atom_site_fract_y
_atom_site_fract_z
_atom_site_occupancy
K1 0.0000 0.1125 0.2500 1
V1 0.1405 0.4436 0.2049 1
O1 0.0928 0.4694 0.4425 1
O2 0.1319 0.2998 0.1547 1
O3 0.1860 0.0281 0.6648 1